This record from Alexandria via LeMat-Bulk describes crystalline KErAu2 at its relaxed geometry. The functional is PBE.

Summary:
Energy relative to the elements in eV per atom: -0.598
Space group: No. 123
Theoretical density in g cm⁻³: 9.2

Unit cell a=3.6524 b=3.6524 c=8.1233 alpha=90.00 beta=90.00 gamma=90.00
With the nearest neighbours (Å) after each atom.
Element x y z (fractional)
K1 0.5000 0.5000 0.5000  8 Au 3.63, 4 K 3.65, 2 Er 4.06
Au1 0.0000 0.0000 0.8134  4 Er 2.99, 1 Au 3.03
Au2 0.0000 0.0000 0.1866  4 Er 2.99, 1 Au 3.03
Er1 0.5000 0.5000 0.0000  8 Au 2.99